The following is a DFT calculation (PBE) of a relaxed KMgV3 crystal.

Lattice parameters (Å, degrees): 5.257 5.257 5.257 90.00 90.00 90.00
Fractional positions:
Mg1 0.000 0.000 0.000
V1 0.500 0.000 0.000
V2 0.000 0.500 0.000
V3 0.000 0.000 0.500
K1 0.500 0.500 0.500

Computed properties:
Total magnetic moment = 11.68 μB/cell
Formation energy from the elements = 1748 meV per atom
Distance to the lowest polymorph of the same formula = 0.000 eV/atom
Final energy = -0.157 hartree per atom

=====

The following is a DFT calculation (PBE) of a relaxed K2MgVW crystal.

Lattice parameters (Å, degrees): 6.451 4.419 6.451 90.00 90.00 90.00
Fractional positions:
K1 0.000 0.000 0.500
K2 0.500 0.000 0.000
V1 0.000 0.000 0.000
W1 0.000 0.500 0.000
Mg1 0.500 0.500 0.500

Computed properties:
Total magnetic moment = 0.00 μB/cell
Formation energy from the elements = 1555 meV per atom
Final energy = -0.133 hartree per atom

=====

The following is a DFT calculation (PBE) of a relaxed KMgW2 crystal.

Lattice parameters (Å, degrees): 2.714 2.714 10.875 90.00 90.00 90.00
Fractional positions:
K1 0.500 0.500 0.250
W1 0.000 0.000 0.962
W2 0.000 0.000 0.538
Mg1 0.500 0.500 0.750

Computed properties:
Total magnetic moment = 0.00 μB/cell
Formation energy from the elements = 1081 meV per atom
Final energy = -0.223 hartree per atom

=====

The following is a DFT calculation (PBE) of a relaxed KMgW2 crystal.

Lattice parameters (Å, degrees): 2.759 2.759 11.158 90.00 90.00 112.01
Fractional positions:
K1 0.500 0.500 0.250
W1 0.000 0.000 0.531
W2 0.000 0.000 0.969
Mg1 0.500 0.500 0.750

Computed properties:
Total magnetic moment = 0.00 μB/cell
Formation energy from the elements = 1007 meV per atom
Final energy = -0.226 hartree per atom

=====

The following is a DFT calculation (PBE) of a relaxed KMg2W crystal.

Lattice parameters (Å, degrees): 5.481 5.481 5.481 128.07 128.07 76.51
Fractional positions:
W1 0.500 0.500 0.000
K1 0.750 0.250 0.500
Mg1 0.250 0.750 0.500
Mg2 0.000 0.000 0.000

Computed properties:
Total magnetic moment = 3.07 μB/cell
Formation energy from the elements = 1317 meV per atom
Distance to the lowest polymorph of the same formula = 0.706 eV/atom
Final energy = -0.110 hartree per atom

=====

The following is a DFT calculation (PBE) of a relaxed KMgW2 crystal.

Lattice parameters (Å, degrees): 11.326 11.326 11.326 14.48 14.48 14.48
Fractional positions:
W1 0.010 0.010 0.010
W2 0.490 0.490 0.490
Mg1 0.750 0.750 0.750
K1 0.250 0.250 0.250

Computed properties:
Total magnetic moment = 0.00 μB/cell
Formation energy from the elements = 1047 meV per atom
Final energy = -0.224 hartree per atom

=====

The following is a DFT calculation (PBE) of a relaxed KMgW2 crystal.

Lattice parameters (Å, degrees): 2.721 4.759 7.542 90.00 90.00 90.00
Fractional positions:
K1 0.500 0.500 0.250
W1 0.000 0.000 0.908
W2 0.000 0.000 0.592
Mg1 0.500 0.500 0.750

Computed properties:
Total magnetic moment = 0.00 μB/cell
Formation energy from the elements = 1131 meV per atom
Final energy = -0.221 hartree per atom

=====

The following is a DFT calculation (PBE) of a relaxed KMgW2 crystal.

Lattice parameters (Å, degrees): 5.288 6.181 2.752 80.66 81.90 113.36
Fractional positions:
Mg1 0.500 0.500 0.000
K1 0.000 0.500 0.500
W1 0.500 0.000 0.500
W2 0.000 0.000 0.000

Computed properties:
Total magnetic moment = 0.00 μB/cell
Formation energy from the elements = 1308 meV per atom
Final energy = -0.215 hartree per atom

=====

What is the formation energy from the elements in the eighth record?
1308 meV per atom